Version A
The following is a DFT calculation (GGA+U) of an optimized crystal structure of NiAuIO2.

Lattice parameters (Å, degrees): 3.835 3.835 6.393 90.00 90.00 90.00
Space group P4/mmm (No. 123)
Unique sites:
Ni1 0.000 0.000 0.000 (multiplicity 1)
Au1 0.500 0.500 0.500 (multiplicity 1)
I1 0.000 0.000 0.500 (multiplicity 1)
O1 0.000 0.500 0.000 (multiplicity 2)



Version B
The following is a DFT calculation (GGA+U) of an optimized crystal structure of NiAuIO2.

Lattice parameters (Å, degrees): 3.824 3.824 6.486 90.00 90.00 90.00
Space group P4/mmm (No. 123)
Unique sites:
Ni1 0.000 0.000 0.000 (multiplicity 1)
Au1 0.000 0.000 0.500 (multiplicity 1)
I1 0.500 0.500 0.500 (multiplicity 1)
O1 0.000 0.500 0.000 (multiplicity 2)



Version C
The following is a DFT calculation (GGA+U) of an optimized crystal structure of NiAuIO2.

Lattice parameters (Å, degrees): 3.907 3.907 7.610 90.00 90.00 90.00
Space group P4/mmm (No. 123)
Unique sites:
Ni1 0.000 0.000 0.000 (multiplicity 1)
Au1 0.500 0.500 0.500 (multiplicity 1)
I1 0.500 0.500 0.000 (multiplicity 1)
O1 0.000 0.500 0.500 (multiplicity 2)



Which structure above is the least stable? It is version C.